Record 1
! Nb3CoP6O24, optimized geometry, DFT GGA+U; values from VASP
! - M_tot (μB/cell) = 4.2
! - energy (eV/atom) = -7.7392
! - crystal system = trigonal
! - calculated volume (Å³ per cell) = 494.83
&SYSTEM
  ibrav = 0, nat = 34, ntyp = 4
/
ATOMIC_SPECIES
P 30.97 P.upf
O 16.00 O.upf
Co 58.93 Co.upf
Nb 92.91 Nb.upf
ATOMIC_POSITIONS angstrom
P 10.5740 4.4175 6.9643
P 9.2958 8.8422 3.9023
P 7.9820 5.8369 0.2447
P 9.1498 1.5177 3.4379
P 12.3985 4.7975 1.7571
P 6.0794 5.6343 5.3979
O 10.1884 7.5695 4.0909
O 11.2176 3.0675 6.8096
O 11.9997 7.8336 6.2285
O 13.5551 5.7605 5.2182
O 11.7436 3.3950 1.6463
O 9.4781 5.9154 0.1249
O 12.9531 7.9548 3.6181
O 8.2556 2.7527 3.1155
O 11.7805 5.4645 3.0320
O 6.6643 4.8480 4.1861
O 7.6177 5.0113 1.5154
O 9.0362 4.3737 7.1672
O 5.5280 2.3588 3.6032
O 8.4819 9.1278 5.1338
O 4.9018 4.5784 2.0288
O 10.8193 5.3142 5.7042
O 7.3204 7.2395 0.4359
O 12.2161 5.6646 0.5423
O 6.2970 4.7246 6.6495
O 9.9992 1.8290 4.6381
O 6.4661 2.5177 0.9779
O 8.4541 8.5905 2.6232
O 9.9992 1.2517 2.1536
O 6.7890 6.9542 5.5127
Co 15.8355 8.8615 6.1950
Nb 11.8291 6.6196 4.6277
Nb 2.6040 1.4572 1.0187
Nb 6.6089 3.6983 2.5855
CELL_PARAMETERS angstrom
9.0088 0.0262 0.0183
4.7344 7.6644 0.0183
4.7344 2.6494 7.1920


Record 2
! NbCo3P4O16, optimized geometry, DFT GGA+U; values from VASP
! - M_tot (μB/cell) = 4.0
! - energy (eV/atom) = -7.1786
! - crystal system = monoclinic
! - calculated volume (Å³ per cell) = 299.46
&SYSTEM
  ibrav = 0, nat = 24, ntyp = 4
/
ATOMIC_SPECIES
O 16.00 O.upf
P 30.97 P.upf
Nb 92.91 Nb.upf
Co 58.93 Co.upf
ATOMIC_POSITIONS angstrom
O -6.0602 -2.4931 7.1677
O -4.0917 -1.2080 0.4691
O -5.2891 -3.3758 4.7715
O -5.6222 -0.7545 2.8349
O -7.0797 -0.4729 5.7553
O -4.4884 -3.5647 2.3489
O -3.5374 -2.4638 7.4302
O -2.2120 -3.0654 5.0188
O -4.5806 -5.2697 7.2120
O -2.5560 -0.4293 3.0041
O -1.5054 -1.1397 0.6229
O -3.2694 -0.1872 5.4432
O -3.0896 1.5365 0.6843
O -5.9061 1.7335 1.4660
O -4.7236 -0.5407 8.0819
O -3.8008 1.5886 3.6880
P -2.7361 -1.6206 -0.1981
P -5.1131 -4.3361 3.4879
P -4.9208 -2.1235 8.1508
P -2.6903 0.6153 4.1293
Nb -6.9948 -2.4771 5.4195
Co -0.6939 -1.2024 2.2850
Co -3.4207 -4.1790 6.1048
Co -4.3229 0.3752 1.8662
CELL_PARAMETERS angstrom
-3.0313 4.9142 1.6654
-4.2049 -1.9741 -1.8284
-1.9996 -4.2232 8.8218


Record 3
! NbCoP2O, optimized geometry, DFT GGA+U; values from VASP
! - M_tot (μB/cell) = 2.2
! - relative energy among the computed polymorphs (meV/atom) = 162.6
! - energy (eV/atom) = -6.0583
! - DOS(E_F) (states/eV per atom) = 0.6426
! - crystal system = tetragonal
! - calculated volume (Å³ per cell) = 71.30
&SYSTEM
  ibrav = 0, nat = 5, ntyp = 4
/
ATOMIC_SPECIES
Co 58.93 Co.upf
P 30.97 P.upf
O 16.00 O.upf
Nb 92.91 Nb.upf
ATOMIC_POSITIONS angstrom
Co 0.0000 0.0000 0.0000
P 2.0777 -0.9693 0.0407
P -0.8801 -1.9236 -0.8851
O -0.3018 -0.5812 1.5633
Nb 0.8959 -3.4741 0.7189
CELL_PARAMETERS angstrom
-1.7601 -3.8472 -1.7702
4.1555 -1.9386 0.0814
-0.6035 -1.1624 3.1265


Record 4
! PaNbCoO6, optimized geometry, DFT GGA+U; values from VASP
! - M_tot (μB/cell) = 6.0
! - energy (eV/atom) = -8.5329
! - DOS(E_F) (states/eV per atom) = 0.0000
! - crystal system = trigonal
! - calculated volume (Å³ per cell) = 236.14
&SYSTEM
  ibrav = 0, nat = 18, ntyp = 4
/
ATOMIC_SPECIES
Co 58.93 Co.upf
Pa 231.04 Pa.upf
O 16.00 O.upf
Nb 92.91 Nb.upf
ATOMIC_POSITIONS angstrom
Co 1.4014 -2.1545 3.5785
Co 0.0000 0.0000 0.0000
Pa 0.6813 -3.8320 0.1383
Pa -0.5445 -5.0502 5.3093
O 4.0571 -6.2245 4.0941
O 2.5790 -4.0507 3.3940
O -1.4677 -3.5288 -0.1315
O -3.9204 -2.6577 1.3535
O -1.4525 -0.9590 1.4097
O 2.5580 -6.6215 1.8544
O -2.4422 -4.8315 2.0536
O 0.0285 -3.1368 2.1064
O 1.6045 -5.3534 5.5791
O 0.1082 -5.7455 3.3412
O -2.4213 -2.2607 3.5932
O 1.5892 -7.9232 4.0379
Nb 2.0827 -5.9865 3.7168
Nb -1.9459 -2.8958 1.7308
CELL_PARAMETERS angstrom
-5.2738 -0.8823 1.5341
2.6078 -3.6911 -3.2435
2.8028 -4.3089 7.1570